Record 1
A geometry-optimized Sm3Hg2O2 structure. Source: Alexandria, functional PBE.

CIF file:
```
data_Sm3Hg2O2
_space_group_name_H-M_alt 'C 1 2/m 1'
_space_group_IT_number 12
_cell_length_a 12.656
_cell_length_b 4.099
_cell_length_c 7.558
_cell_angle_alpha 90.00
_cell_angle_beta 120.20
_cell_angle_gamma 90.00
loop_
_space_group_symop_operation_xyz
'x,y,z'
'-x,-y,-z'
'-x,y,-z'
'x,-y,z'
'x+1/2,y+1/2,z'
'-x+1/2,-y+1/2,-z'
'-x+1/2,y+1/2,-z'
'x+1/2,-y+1/2,z'
loop_
_atom_site_label
_atom_site_type_symbol
_atom_site_fract_x
_atom_site_fract_y
_atom_site_fract_z
Sm1 Sm 0.000 0.000 0.000
Sm2 Sm 0.157 0.500 0.785
Hg1 Hg 0.157 0.500 0.356
O1 O 0.157 0.000 0.918
```

Computed properties:
Uncorrected formation energy (kJ/mol of formula units): -1224.1



Record 2
A geometry-optimized Sm4SnHgO structure. Source: Alexandria, functional PBE.

CIF file:
```
data_Sm4SnHgO
_space_group_name_H-M_alt 'C m c m'
_space_group_IT_number 63
_space_group_name_Hall '-C 2c 2'
_cell_length_a 6.670
_cell_length_b 16.757
_cell_length_c 6.674
_cell_angle_alpha 90.00
_cell_angle_beta 90.00
_cell_angle_gamma 90.00
loop_
_atom_site_label
_atom_site_type_symbol
_atom_site_fract_x
_atom_site_fract_y
_atom_site_fract_z
Sm1 Sm 0.000 0.067 0.250
Sm2 Sm 0.000 0.419 0.250
Sm3 Sm 0.250 0.250 0.000
Sn1 Sn 0.000 0.390 0.750
Hg1 Hg 0.000 0.115 0.750
O1 O 0.000 0.267 0.250
```

Computed properties:
Uncorrected formation energy (kJ/mol of formula units): -795.9



Record 3
A geometry-optimized TbSm2HgO structure. Source: Alexandria, functional PBE.

CIF file:
```
data_TbSm2HgO
_space_group_name_H-M_alt 'P 4/m m m'
_space_group_IT_number 123
_space_group_name_Hall '-P 4 2'
_cell_length_a 4.887
_cell_length_b 4.887
_cell_length_c 4.790
_cell_angle_alpha 90.00
_cell_angle_beta 90.00
_cell_angle_gamma 90.00
loop_
_atom_site_label
_atom_site_type_symbol
_atom_site_fract_x
_atom_site_fract_y
_atom_site_fract_z
Tb1 Tb 0.000 0.000 0.000
Sm1 Sm 0.000 0.500 0.500
Hg1 Hg 0.500 0.500 0.000
O1 O 0.000 0.000 0.500
```

Computed properties:
Uncorrected formation energy (kJ/mol of formula units): -660.4



Record 4
A geometry-optimized Tb2Sm4Hg3O2 structure. Source: Alexandria, functional PBE.

CIF file:
```
data_Tb2Sm4Hg3O2
_space_group_name_H-M_alt 'I 4/m m m'
_space_group_IT_number 139
_space_group_name_Hall '-I 4 2'
_cell_length_a 4.843
_cell_length_b 4.843
_cell_length_c 23.696
_cell_angle_alpha 90.00
_cell_angle_beta 90.00
_cell_angle_gamma 90.00
loop_
_atom_site_label
_atom_site_type_symbol
_atom_site_fract_x
_atom_site_fract_y
_atom_site_fract_z
Tb1 Tb 0.000 0.000 0.201
Sm1 Sm 0.000 0.500 0.086
Hg1 Hg 0.000 0.000 0.327
Hg2 Hg 0.000 0.000 0.500
O1 O 0.000 0.000 0.105
```

Computed properties:
Uncorrected formation energy (kJ/mol of formula units): -1312.9



Record 5
A geometry-optimized Tb2SmHgO structure. Source: Alexandria, functional PBE.

CIF file:
```
data_Tb2SmHgO
_space_group_name_H-M_alt 'P 4/m m m'
_space_group_IT_number 123
_space_group_name_Hall '-P 4 2'
_cell_length_a 4.792
_cell_length_b 4.792
_cell_length_c 4.879
_cell_angle_alpha 90.00
_cell_angle_beta 90.00
_cell_angle_gamma 90.00
loop_
_atom_site_label
_atom_site_type_symbol
_atom_site_fract_x
_atom_site_fract_y
_atom_site_fract_z
Tb1 Tb 0.000 0.500 0.000
Sm1 Sm 0.000 0.000 0.500
Hg1 Hg 0.500 0.500 0.500
O1 O 0.000 0.000 0.000
```

Computed properties:
Uncorrected formation energy (kJ/mol of formula units): -664.9



Record 6
A geometry-optimized Sm2TiHgO6 structure. Source: Alexandria, functional PBE.

CIF file:
```
data_Sm2TiHgO6
_space_group_name_H-M_alt 'P 4 m m'
_space_group_IT_number 99
_cell_length_a 5.369
_cell_length_b 5.369
_cell_length_c 5.343
_cell_angle_alpha 90.00
_cell_angle_beta 90.00
_cell_angle_gamma 90.00
loop_
_space_group_symop_operation_xyz
'x,y,z'
'-y,x,z'
'-x,-y,z'
'y,-x,z'
'-x,y,z'
'y,x,z'
'x,-y,z'
'-y,-x,z'
loop_
_atom_site_label
_atom_site_type_symbol
_atom_site_fract_x
_atom_site_fract_y
_atom_site_fract_z
Sm1 Sm 0.000 0.500 0.000
Ti1 Ti 0.000 0.000 0.617
Hg1 Hg 0.500 0.500 0.526
O1 O 0.000 0.000 0.272
O2 O 0.234 0.234 0.760
O3 O 0.500 0.500 0.135
```

Computed properties:
Uncorrected formation energy (kJ/mol of formula units): -2453.2



Record 7
A geometry-optimized Sm4TlHgO structure. Source: Alexandria, functional PBE.

CIF file:
```
data_Sm4TlHgO
_space_group_name_H-M_alt 'C m c m'
_space_group_IT_number 63
_space_group_name_Hall '-C 2c 2'
_cell_length_a 6.755
_cell_length_b 16.320
_cell_length_c 6.769
_cell_angle_alpha 90.00
_cell_angle_beta 90.00
_cell_angle_gamma 90.00
loop_
_atom_site_label
_atom_site_type_symbol
_atom_site_fract_x
_atom_site_fract_y
_atom_site_fract_z
Sm1 Sm 0.000 0.071 0.250
Sm2 Sm 0.000 0.420 0.250
Sm3 Sm 0.250 0.250 0.000
Tl1 Tl 0.000 0.389 0.750
Hg1 Hg 0.000 0.117 0.750
O1 O 0.000 0.254 0.250
```

Computed properties:
Uncorrected formation energy (kJ/mol of formula units): -697.9



Record 8
A geometry-optimized Sm2YHgO structure. Source: Alexandria, functional PBE.

CIF file:
```
data_Sm2YHgO
_space_group_name_H-M_alt 'P 4/m m m'
_space_group_IT_number 123
_space_group_name_Hall '-P 4 2'
_cell_length_a 4.888
_cell_length_b 4.888
_cell_length_c 4.784
_cell_angle_alpha 90.00
_cell_angle_beta 90.00
_cell_angle_gamma 90.00
loop_
_atom_site_label
_atom_site_type_symbol
_atom_site_fract_x
_atom_site_fract_y
_atom_site_fract_z
Sm1 Sm 0.000 0.500 0.000
Y1 Y 0.000 0.000 0.500
Hg1 Hg 0.500 0.500 0.500
O1 O 0.000 0.000 0.000
```

Computed properties:
Uncorrected formation energy (kJ/mol of formula units): -660.6



Q: Which of these has the highest uncorrected formation energy?
A: TbSm2HgO



Q: uncorrected formation energy of number 3 (TbSm2HgO)?
A: -660.4 kJ/mol of formula units